DFT (SCAN) results for YMg2Pt2 at its PBEsol-relaxed geometry.

Cell: 3.9600 3.9600 6.8238 Å, 106.87 106.87 90.00°
Last column: nearest neighbours and their distance in Å.
Atoms (fractional coordinates):
Y: 0.0000 0.0000 0.0000  8 Pt 3.10
Mg: 0.7500 0.2500 0.5000  4 Pt 2.67, 4 Mg 2.80
Pt: 0.3941 0.3941 0.7881  1 Pt 2.64, 4 Mg 2.67
Pt: 0.6059 0.6059 0.2119  1 Pt 2.64, 4 Mg 2.67
Mg: 0.2500 0.7500 0.5000  4 Pt 2.67, 4 Mg 2.80

**Raw total energy**: -36.703 eV per atom
**Volume**: 19.5 A^3/atom
**DFT formation energy**: -1.067 eV/atom